(1)
Here is MgZnCdSe3 after structural relaxation from the Open Quantum Materials Database. Energies are from GGA-PBE.

Values from the calculation:
- uncorrected energy (eV/atom) = -2.99
- energy above the most stable polymorph in this dataset (kJ/mol of formula units) = 0.0
- SG = No. 63

Cell lengths 6.695, 6.695, 11.108 Å; angles 90.00, 90.00, 33.02 degrees
Fractional positions:
Cd1 0.000 0.000 0.000
Cd2 0.000 0.000 0.500
Mg1 0.772 0.772 0.250
Mg2 0.228 0.228 0.750
Se1 0.355 0.355 0.082
Se2 0.107 0.107 0.250
Se3 0.355 0.355 0.418
Se4 0.645 0.645 0.582
Se5 0.893 0.893 0.750
Se6 0.645 0.645 0.918
Zn1 0.480 0.480 0.250
Zn2 0.520 0.520 0.750



(2)
Here is MgZnCdSe3 after structural relaxation from the Open Quantum Materials Database. Energies are from GGA-PBE.

Values from the calculation:
- uncorrected energy (eV/atom) = -2.88
- energy above the most stable polymorph in this dataset (kJ/mol of formula units) = 63.1
- SG = No. 63

Cell lengths 6.973, 6.973, 11.291 Å; angles 90.00, 90.00, 148.80 degrees
Fractional positions:
Cd1 0.489 0.511 0.250
Cd2 0.511 0.489 0.750
Mg1 0.210 0.790 0.250
Mg2 0.790 0.210 0.750
Se1 0.621 0.379 0.075
Se2 0.851 0.149 0.250
Se3 0.621 0.379 0.425
Se4 0.379 0.621 0.575
Se5 0.149 0.851 0.750
Se6 0.379 0.621 0.925
Zn1 0.000 0.000 0.000
Zn2 0.000 0.000 0.500



(3)
Here is Mg2Cd2SiSn after structural relaxation from the Open Quantum Materials Database. Energies are from GGA-PBE.

Values from the calculation:
- uncorrected energy (eV/atom) = -2.30
- SG = No. 6

Cell lengths 11.305, 4.681, 11.382 Å; angles 90.00, 109.60, 90.00 degrees
Fractional positions:
Cd1 0.374 0.500 0.132
Cd2 0.774 0.000 0.269
Cd3 0.097 0.500 0.343
Cd4 0.507 0.000 0.520
Cd5 0.876 0.500 0.645
Cd6 0.273 0.000 0.737
Cd7 0.630 0.500 0.873
Cd8 0.974 0.000 0.983
Mg1 0.734 0.000 0.006
Mg2 0.104 0.500 0.095
Mg3 0.517 0.000 0.269
Mg4 0.866 0.500 0.401
Mg5 0.228 0.000 0.466
Mg6 0.629 0.500 0.629
Mg7 0.015 0.000 0.746
Mg8 0.381 0.500 0.878
Si1 0.998 0.000 0.232
Si2 0.757 0.000 0.511
Si3 0.517 0.000 0.762
Si4 0.869 0.500 0.876
Sn1 0.632 0.500 0.135
Sn2 0.374 0.500 0.384
Sn3 0.128 0.500 0.614
Sn4 0.245 0.000 0.992



(4)
Here is SrMg2CdSi after structural relaxation from the Open Quantum Materials Database. Energies are from GGA-PBE.

Values from the calculation:
- uncorrected energy (eV/atom) = -2.52
- SG = No. 107

Cell lengths 6.946, 6.946, 6.946 Å; angles 142.57, 142.57, 53.98 degrees
Fractional positions:
Cd1 0.604 0.604 0.000
Mg1 0.759 0.259 0.500
Mg2 0.259 0.759 0.500
Si1 0.389 0.389 0.000
Sr1 0.988 0.988 0.000



(5)
Here is Sm2MgCd after structural relaxation from the Open Quantum Materials Database. Energies are from GGA-PBE.

Values from the calculation:
- uncorrected energy (eV/atom) = -3.18
- total magnetic moment (μB per atom) = 0.04
- SG = No. 123

Cell lengths 5.366, 5.366, 3.856 Å; angles 90.00, 90.00, 90.00 degrees
Fractional positions:
Cd1 0.000 0.000 0.500
Mg1 0.500 0.500 0.500
Sm1 0.500 0.000 0.000
Sm2 0.000 0.500 0.000



(6)
Here is SmTm2Mg3Tl2Cd after structural relaxation from the Open Quantum Materials Database. Energies are from GGA-PBE.

Values from the calculation:
- uncorrected energy (eV/atom) = -2.97
- total magnetic moment (μB per atom) = 0.00
- SG = No. 38

Cell lengths 4.627, 7.571, 7.571 Å; angles 120.97, 90.00, 90.00 degrees
Fractional positions:
Cd1 0.000 0.991 0.991
Mg1 0.500 0.239 0.000
Mg2 0.500 0.000 0.239
Mg3 0.500 0.759 0.759
Sm1 0.000 0.428 0.428
Tl1 0.500 0.673 0.332
Tl2 0.500 0.332 0.673
Tm1 0.000 0.576 0.002
Tm2 0.000 0.002 0.576



(7)
Here is Sm2YMg3Tl2Cd after structural relaxation from the Open Quantum Materials Database. Energies are from GGA-PBE.

Values from the calculation:
- uncorrected energy (eV/atom) = -3.26
- total magnetic moment (μB per atom) = 0.00
- SG = No. 38

Cell lengths 4.675, 7.600, 7.600 Å; angles 119.42, 90.00, 90.00 degrees
Fractional positions:
Cd1 0.000 0.005 0.005
Mg1 0.500 0.000 0.240
Mg2 0.500 0.762 0.762
Mg3 0.500 0.240 0.000
Sm1 0.000 0.998 0.575
Sm2 0.000 0.575 0.998
Tl1 0.500 0.664 0.334
Tl2 0.500 0.334 0.664
Y1 0.000 0.423 0.423



(8)
Here is MgCdSn2 after structural relaxation from the Open Quantum Materials Database. Energies are from GGA-PBE.

Values from the calculation:
- uncorrected energy (eV/atom) = -2.59
- SG = No. 216

Cell lengths 5.229, 5.229, 5.229 Å; angles 60.00, 60.00, 60.00 degrees
Fractional positions:
Cd1 0.500 0.500 0.500
Mg1 0.750 0.750 0.750
Sn1 0.000 0.000 0.000
Sn2 0.250 0.250 0.250



(9)
Here is SrMg2CdSn after structural relaxation from the Open Quantum Materials Database. Energies are from GGA-PBE.

Values from the calculation:
- uncorrected energy (eV/atom) = -2.30
- SG = No. 107

Cell lengths 7.215, 7.215, 7.215 Å; angles 142.57, 142.57, 53.97 degrees
Fractional positions:
Cd1 0.612 0.612 0.000
Mg1 0.752 0.252 0.500
Mg2 0.252 0.752 0.500
Sn1 0.390 0.390 0.000
Sr1 0.994 0.994 0.000



(10)
Here is Mg2ZnCdSn2 after structural relaxation from the Open Quantum Materials Database. Energies are from GGA-PBE.

Values from the calculation:
- uncorrected energy (eV/atom) = -2.28
- SG = No. 6

Cell lengths 8.123, 4.665, 15.497 Å; angles 90.00, 99.61, 90.00 degrees
Fractional positions:
Cd1 0.248 0.000 0.251
Cd2 0.753 0.500 0.253
Cd3 0.750 0.000 0.749
Cd4 0.498 0.000 0.997
Mg1 0.180 0.000 0.059
Mg2 0.698 0.500 0.061
Mg3 0.440 0.500 0.320
Mg4 0.941 0.000 0.322
Mg5 0.686 0.000 0.558
Mg6 0.187 0.500 0.563
Mg7 0.425 0.000 0.806
Mg8 0.946 0.500 0.813
Sn1 0.061 0.500 0.181
Sn2 0.562 0.000 0.188
Sn3 0.314 0.000 0.444
Sn4 0.817 0.500 0.446
Sn5 0.550 0.500 0.684
Sn6 0.070 0.000 0.685
Sn7 0.301 0.500 0.931
Sn8 0.824 0.000 0.940
Zn1 0.499 0.500 0.503
Zn2 0.003 0.000 0.504
Zn3 0.247 0.500 0.747
Zn4 0.003 0.500 0.998



(11)
Here is SrMg2Cd4 after structural relaxation from the Open Quantum Materials Database. Energies are from GGA-PBE.

Values from the calculation:
- uncorrected energy (eV/atom) = -1.44
- SG = No. 139

Cell lengths 6.110, 6.110, 6.110 Å; angles 103.49, 103.49, 122.25 degrees
Fractional positions:
Cd1 0.693 0.307 0.000
Cd2 0.307 0.693 0.000
Cd3 0.693 0.693 0.385
Cd4 0.307 0.307 0.615
Mg1 0.750 0.250 0.500
Mg2 0.250 0.750 0.500
Sr1 0.000 0.000 0.000